1.
# BaBiPBr2, optimized geometry, DFT PBE
data_BaBiPBr2
_space_group_name_H-M_alt 'P 4/m m m'
_space_group_IT_number 123
_space_group_name_Hall '-P 4 2'
_cell_length_a 6.074
_cell_length_b 6.074
_cell_length_c 8.571
_cell_angle_alpha 90.00
_cell_angle_beta 90.00
_cell_angle_gamma 90.00
loop_
_atom_site_label
_atom_site_fract_x
_atom_site_fract_y
_atom_site_fract_z
Ba1 0.000 0.000 0.000
Bi1 0.000 0.000 0.500
P1 0.500 0.500 0.500
Br1 0.000 0.500 0.000
# density	2.82	g/cm³
# Fermi-level density of states	0.000	states/eV/f.u.
# energy relative to the elements, uncorrected	0.0	eV per formula unit

---

2.
# Ba6Bi2PBr3, optimized geometry, DFT PBE
data_Ba6Bi2PBr3
_space_group_name_H-M_alt 'C 1 2/m 1'
_space_group_IT_number 12
_cell_length_a 8.614
_cell_length_b 14.942
_cell_length_c 8.509
_cell_angle_alpha 90.00
_cell_angle_beta 109.67
_cell_angle_gamma 90.00
loop_
_space_group_symop_operation_xyz
'x,y,z'
'-x,-y,-z'
'-x,y,-z'
'x,-y,z'
'x+1/2,y+1/2,z'
'-x+1/2,-y+1/2,-z'
'-x+1/2,y+1/2,-z'
'x+1/2,-y+1/2,z'
loop_
_atom_site_label
_atom_site_fract_x
_atom_site_fract_y
_atom_site_fract_z
Ba1 0.231 0.156 0.226
Ba2 0.239 0.000 0.778
Bi1 0.000 0.332 0.000
P1 0.000 0.000 0.000
Br1 0.000 0.162 0.500
Br2 0.000 0.500 0.500
# density	4.87	g/cm³
# energy relative to the elements, uncorrected	-17.5	eV per formula unit

---

3.
# Ba6Bi2PBr, optimized geometry, DFT PBE
data_Ba6Bi2PBr
_space_group_name_H-M_alt 'P 1 21/c 1'
_space_group_IT_number 14
_cell_length_a 8.039
_cell_length_b 9.405
_cell_length_c 14.282
_cell_angle_alpha 90.00
_cell_angle_beta 123.25
_cell_angle_gamma 90.00
loop_
_space_group_symop_operation_xyz
'x,y,z'
'-x,-y,-z'
'-x,y+1/2,-z+1/2'
'x,-y+1/2,z+1/2'
loop_
_atom_site_label
_atom_site_fract_x
_atom_site_fract_y
_atom_site_fract_z
Ba1 0.101 0.043 0.241
Ba2 0.222 0.701 0.066
Ba3 0.390 0.169 0.068
Bi1 0.303 0.111 0.746
P1 0.000 0.000 0.000
Br1 0.500 0.000 0.500
# density	4.98	g/cm³
# Fermi-level density of states	5.021	states/eV/f.u.
# energy relative to the elements, uncorrected	-10.5	eV per formula unit

---

4.
# Ba4BiPbBr2, optimized geometry, DFT PBE
data_Ba4BiPbBr2
_space_group_name_H-M_alt 'P 1 2/m 1'
_space_group_IT_number 10
_cell_length_a 8.727
_cell_length_b 4.921
_cell_length_c 8.797
_cell_angle_alpha 90.00
_cell_angle_beta 109.11
_cell_angle_gamma 90.00
loop_
_space_group_symop_operation_xyz
'x,y,z'
'-x,-y,-z'
'-x,y,-z'
'x,-y,z'
loop_
_atom_site_label
_atom_site_fract_x
_atom_site_fract_y
_atom_site_fract_z
Ba1 0.237 0.000 0.247
Ba2 0.244 0.500 0.753
Bi1 0.000 0.500 0.000
Pb1 0.000 0.000 0.500
Br1 0.500 0.000 0.000
Br2 0.500 0.500 0.500
# density	5.23	g/cm³
# Fermi-level density of states	5.592	states/eV/f.u.
# energy relative to the elements, uncorrected	-9.8	eV per formula unit

---

5.
# Ba6BiPt2Br3, optimized geometry, DFT PBE
data_Ba6BiPt2Br3
_space_group_name_H-M_alt 'C 1 2/m 1'
_space_group_IT_number 12
_cell_length_a 21.344
_cell_length_b 4.738
_cell_length_c 9.950
_cell_angle_alpha 90.00
_cell_angle_beta 106.50
_cell_angle_gamma 90.00
loop_
_space_group_symop_operation_xyz
'x,y,z'
'-x,-y,-z'
'-x,y,-z'
'x,-y,z'
'x+1/2,y+1/2,z'
'-x+1/2,-y+1/2,-z'
'-x+1/2,y+1/2,-z'
'x+1/2,-y+1/2,z'
loop_
_atom_site_label
_atom_site_fract_x
_atom_site_fract_y
_atom_site_fract_z
Ba1 0.013 0.000 0.253
Ba2 0.168 0.500 0.116
Ba3 0.177 0.500 0.564
Bi1 0.000 0.500 0.000
Pt1 0.170 0.000 0.339
Br1 0.000 0.500 0.500
Br2 0.164 0.000 0.836
# density	5.72	g/cm³
# Fermi-level density of states	7.223	states/eV/f.u.
# energy relative to the elements, uncorrected	-15.6	eV per formula unit

---

6.
# RbBaBiBr6, optimized geometry, DFT PBE
data_RbBaBiBr6
_space_group_name_H-M_alt 'P -3 1 c'
_space_group_IT_number 163
_space_group_name_Hall '-P 3 2c'
_cell_length_a 8.0624
_cell_length_b 8.0624
_cell_length_c 14.5073
_cell_angle_alpha 90.00
_cell_angle_beta 90.00
_cell_angle_gamma 120.00
loop_
_atom_site_label
_atom_site_fract_x
_atom_site_fract_y
_atom_site_fract_z
Rb1 0.0000 0.0000 0.0000
Ba1 0.3333 0.6667 0.2500
Bi1 0.3333 0.6667 0.7500
Br1 0.0339 0.3833 0.6338
# density	3.71	g/cm³
# Fermi-level density of states	0.000	states/eV/f.u.
# energy relative to the elements, uncorrected	-13.1	eV per formula unit

---

7.
# Rb2BaBiBr8, optimized geometry, DFT PBE
data_Rb2BaBiBr8
_space_group_name_H-M_alt 'P -1'
_space_group_IT_number 2
_cell_length_a 6.520
_cell_length_b 7.942
_cell_length_c 9.776
_cell_angle_alpha 89.67
_cell_angle_beta 89.97
_cell_angle_gamma 80.44
loop_
_space_group_symop_operation_xyz
'x,y,z'
'-x,-y,-z'
loop_
_atom_site_label
_atom_site_fract_x
_atom_site_fract_y
_atom_site_fract_z
Rb1 0.001 0.003 0.242
Ba1 0.500 0.500 0.500
Bi1 0.500 0.500 0.000
Br1 0.026 0.712 0.499
Br2 0.077 0.678 0.004
Br3 0.449 0.263 0.781
Br4 0.451 0.262 0.221
# density	3.85	g/cm³
# Fermi-level density of states	6.206	states/eV/f.u.
# energy relative to the elements, uncorrected	-15.6	eV per formula unit

---

8.
# Ba6BiS2Br3, optimized geometry, DFT PBE
data_Ba6BiS2Br3
_space_group_name_H-M_alt 'C 1 2/m 1'
_space_group_IT_number 12
_cell_length_a 8.208
_cell_length_b 14.199
_cell_length_c 8.321
_cell_angle_alpha 90.00
_cell_angle_beta 109.30
_cell_angle_gamma 90.00
loop_
_space_group_symop_operation_xyz
'x,y,z'
'-x,-y,-z'
'-x,y,-z'
'x,-y,z'
'x+1/2,y+1/2,z'
'-x+1/2,-y+1/2,-z'
'-x+1/2,y+1/2,-z'
'x+1/2,-y+1/2,z'
loop_
_atom_site_label
_atom_site_fract_x
_atom_site_fract_y
_atom_site_fract_z
Ba1 0.224 0.000 0.226
Ba2 0.248 0.176 0.773
Bi1 0.000 0.500 0.000
S1 0.000 0.167 0.000
Br1 0.000 0.000 0.500
Br2 0.000 0.339 0.500
# density	4.85	g/cm³
# Fermi-level density of states	4.155	states/eV/f.u.
# energy relative to the elements, uncorrected	-20.5	eV per formula unit

---

9.
# Ba6BiSb2Br3, optimized geometry, DFT PBE
data_Ba6BiSb2Br3
_space_group_name_H-M_alt 'C 1 2/m 1'
_space_group_IT_number 12
_cell_length_a 21.636
_cell_length_b 5.036
_cell_length_c 9.902
_cell_angle_alpha 90.00
_cell_angle_beta 101.29
_cell_angle_gamma 90.00
loop_
_space_group_symop_operation_xyz
'x,y,z'
'-x,-y,-z'
'-x,y,-z'
'x,-y,z'
'x+1/2,y+1/2,z'
'-x+1/2,-y+1/2,-z'
'-x+1/2,y+1/2,-z'
'x+1/2,-y+1/2,z'
loop_
_atom_site_label
_atom_site_fract_x
_atom_site_fract_y
_atom_site_fract_z
Ba1 0.005 0.000 0.245
Ba2 0.164 0.500 0.098
Ba3 0.172 0.500 0.573
Bi1 0.000 0.500 0.000
Sb1 0.166 0.000 0.335
Br1 0.000 0.500 0.500
Br2 0.167 0.000 0.834
# density	4.76	g/cm³
# energy relative to the elements, uncorrected	-17.8	eV per formula unit

---

10.
# Ba6Bi2SbBr3, optimized geometry, DFT PBE
data_Ba6Bi2SbBr3
_space_group_name_H-M_alt 'C 1 2/m 1'
_space_group_IT_number 12
_cell_length_a 21.683
_cell_length_b 5.056
_cell_length_c 9.913
_cell_angle_alpha 90.00
_cell_angle_beta 101.02
_cell_angle_gamma 90.00
loop_
_space_group_symop_operation_xyz
'x,y,z'
'-x,-y,-z'
'-x,y,-z'
'x,-y,z'
'x+1/2,y+1/2,z'
'-x+1/2,-y+1/2,-z'
'-x+1/2,y+1/2,-z'
'x+1/2,-y+1/2,z'
loop_
_atom_site_label
_atom_site_fract_x
_atom_site_fract_y
_atom_site_fract_z
Ba1 0.004 0.000 0.237
Ba2 0.161 0.500 0.088
Ba3 0.170 0.500 0.574
Bi1 0.167 0.000 0.331
Sb1 0.000 0.500 0.000
Br1 0.000 0.500 0.500
Br2 0.165 0.000 0.832
# density	4.99	g/cm³
# energy relative to the elements, uncorrected	-17.4	eV per formula unit

---

11.
# BaSc2BiBr, optimized geometry, DFT PBE
data_BaSc2BiBr
_space_group_name_H-M_alt 'P 4/m m m'
_space_group_IT_number 123
_space_group_name_Hall '-P 4 2'
_cell_length_a 5.963
_cell_length_b 5.963
_cell_length_c 5.655
_cell_angle_alpha 90.00
_cell_angle_beta 90.00
_cell_angle_gamma 90.00
loop_
_atom_site_label
_atom_site_fract_x
_atom_site_fract_y
_atom_site_fract_z
Ba1 0.000 0.000 0.000
Sc1 0.000 0.500 0.000
Bi1 0.500 0.500 0.500
Br1 0.000 0.000 0.500
# density	4.26	g/cm³
# Fermi-level density of states	6.705	states/eV/f.u.
# energy relative to the elements, uncorrected	3.8	eV per formula unit

---

12.
# BaBiSe2Br, optimized geometry, DFT PBE
data_BaBiSe2Br
_space_group_name_H-M_alt 'P 4/m m m'
_space_group_IT_number 123
_space_group_name_Hall '-P 4 2'
_cell_length_a 5.643
_cell_length_b 5.643
_cell_length_c 5.615
_cell_angle_alpha 90.00
_cell_angle_beta 90.00
_cell_angle_gamma 90.00
loop_
_atom_site_label
_atom_site_fract_x
_atom_site_fract_y
_atom_site_fract_z
Ba1 0.000 0.000 0.000
Bi1 0.500 0.500 0.500
Se1 0.000 0.500 0.500
Br1 0.500 0.500 0.000
# density	5.42	g/cm³
# E above lowest polymorph	0	kJ/mol of formula units
# Fermi-level density of states	0.369	states/eV/f.u.
# energy relative to the elements, uncorrected	-4.7	eV per formula unit

---

13.
# Ba4BiSeBr2, optimized geometry, DFT PBE
data_Ba4BiSeBr2
_space_group_name_H-M_alt 'P 1 2/m 1'
_space_group_IT_number 10
_cell_length_a 8.347
_cell_length_b 4.911
_cell_length_c 8.447
_cell_angle_alpha 90.00
_cell_angle_beta 109.95
_cell_angle_gamma 90.00
loop_
_space_group_symop_operation_xyz
'x,y,z'
'-x,-y,-z'
'-x,y,-z'
'x,-y,z'
loop_
_atom_site_label
_atom_site_fract_x
_atom_site_fract_y
_atom_site_fract_z
Ba1 0.231 0.000 0.237
Ba2 0.238 0.500 0.754
Bi1 0.000 0.000 0.500
Se1 0.000 0.500 0.000
Br1 0.500 0.000 0.000
Br2 0.500 0.500 0.500
# density	5.09	g/cm³
# Fermi-level density of states	3.256	states/eV/f.u.
# energy relative to the elements, uncorrected	-13.0	eV per formula unit

---

14.
# Ba6Bi2SeBr3, optimized geometry, DFT PBE
data_Ba6Bi2SeBr3
_space_group_name_H-M_alt 'C 1 2/m 1'
_space_group_IT_number 12
_cell_length_a 21.316
_cell_length_b 4.971
_cell_length_c 9.730
_cell_angle_alpha 90.00
_cell_angle_beta 101.90
_cell_angle_gamma 90.00
loop_
_space_group_symop_operation_xyz
'x,y,z'
'-x,-y,-z'
'-x,y,-z'
'x,-y,z'
'x+1/2,y+1/2,z'
'-x+1/2,-y+1/2,-z'
'-x+1/2,y+1/2,-z'
'x+1/2,-y+1/2,z'
loop_
_atom_site_label
_atom_site_fract_x
_atom_site_fract_y
_atom_site_fract_z
Ba1 0.002 0.000 0.233
Ba2 0.160 0.500 0.081
Ba3 0.169 0.500 0.575
Bi1 0.165 0.000 0.326
Se1 0.000 0.500 0.000
Br1 0.000 0.500 0.500
Br2 0.165 0.000 0.831
# density	5.14	g/cm³
# Fermi-level density of states	3.729	states/eV/f.u.
# energy relative to the elements, uncorrected	-18.7	eV per formula unit

---

15.
# Ba6BiSe2Br3, optimized geometry, DFT PBE
data_Ba6BiSe2Br3
_space_group_name_H-M_alt 'C 1 2/m 1'
_space_group_IT_number 12
_cell_length_a 8.367
_cell_length_b 14.483
_cell_length_c 8.306
_cell_angle_alpha 90.00
_cell_angle_beta 109.68
_cell_angle_gamma 90.00
loop_
_space_group_symop_operation_xyz
'x,y,z'
'-x,-y,-z'
'-x,y,-z'
'x,-y,z'
'x+1/2,y+1/2,z'
'-x+1/2,-y+1/2,-z'
'-x+1/2,y+1/2,-z'
'x+1/2,-y+1/2,z'
loop_
_atom_site_label
_atom_site_fract_x
_atom_site_fract_y
_atom_site_fract_z
Ba1 0.234 0.000 0.234
Ba2 0.250 0.172 0.767
Bi1 0.000 0.500 0.000
Se1 0.000 0.167 0.000
Br1 0.000 0.000 0.500
Br2 0.000 0.337 0.500
# density	5.01	g/cm³
# Fermi-level density of states	4.180	states/eV/f.u.
# energy relative to the elements, uncorrected	-20.4	eV per formula unit

---

16.
# BaBiSe2Br, optimized geometry, DFT PBE
data_BaBiSe2Br
_space_group_name_H-M_alt 'P 4/m m m'
_space_group_IT_number 123
_space_group_name_Hall '-P 4 2'
_cell_length_a 6.089
_cell_length_b 6.089
_cell_length_c 5.900
_cell_angle_alpha 90.00
_cell_angle_beta 90.00
_cell_angle_gamma 90.00
loop_
_atom_site_label
_atom_site_fract_x
_atom_site_fract_y
_atom_site_fract_z
Ba1 0.000 0.000 0.000
Bi1 0.500 0.500 0.500
Se1 0.000 0.500 0.000
Br1 0.000 0.000 0.500
# density	4.43	g/cm³
# E above lowest polymorph	439	kJ/mol of formula units
# Fermi-level density of states	5.889	states/eV/f.u.
# energy relative to the elements, uncorrected	-0.1	eV per formula unit

---

17.
# Ba2Sr4Bi3Br2, optimized geometry, DFT PBE
data_Ba2Sr4Bi3Br2
_space_group_name_H-M_alt 'I 4/m m m'
_space_group_IT_number 139
_space_group_name_Hall '-I 4 2'
_cell_length_a 5.824
_cell_length_b 5.824
_cell_length_c 27.089
_cell_angle_alpha 90.00
_cell_angle_beta 90.00
_cell_angle_gamma 90.00
loop_
_atom_site_label
_atom_site_fract_x
_atom_site_fract_y
_atom_site_fract_z
Ba1 0.000 0.000 0.205
Sr1 0.000 0.500 0.081
Bi1 0.000 0.000 0.334
Bi2 0.000 0.000 0.500
Br1 0.000 0.000 0.073
# density	5.10	g/cm³
# Fermi-level density of states	4.938	states/eV/f.u.
# energy relative to the elements, uncorrected	-11.7	eV per formula unit

---

18.
# Ba6Bi2TeBr3, optimized geometry, DFT PBE
data_Ba6Bi2TeBr3
_space_group_name_H-M_alt 'C 1 2/m 1'
_space_group_IT_number 12
_cell_length_a 21.413
_cell_length_b 5.042
_cell_length_c 9.769
_cell_angle_alpha 90.00
_cell_angle_beta 100.80
_cell_angle_gamma 90.00
loop_
_space_group_symop_operation_xyz
'x,y,z'
'-x,-y,-z'
'-x,y,-z'
'x,-y,z'
'x+1/2,y+1/2,z'
'-x+1/2,-y+1/2,-z'
'-x+1/2,y+1/2,-z'
'x+1/2,-y+1/2,z'
loop_
_atom_site_label
_atom_site_fract_x
_atom_site_fract_y
_atom_site_fract_z
Ba1 0.003 0.000 0.247
Ba2 0.166 0.500 0.088
Ba3 0.169 0.500 0.575
Bi1 0.166 0.000 0.329
Te1 0.000 0.500 0.000
Br1 0.000 0.500 0.500
Br2 0.165 0.000 0.832
# density	5.16	g/cm³
# Fermi-level density of states	3.603	states/eV/f.u.
# energy relative to the elements, uncorrected	-18.2	eV per formula unit

---

19.
# Ba6BiTe2Br3, optimized geometry, DFT PBE
data_Ba6BiTe2Br3
_space_group_name_H-M_alt 'C 1 2/m 1'
_space_group_IT_number 12
_cell_length_a 8.615
_cell_length_b 14.913
_cell_length_c 8.335
_cell_angle_alpha 90.00
_cell_angle_beta 110.16
_cell_angle_gamma 90.00
loop_
_space_group_symop_operation_xyz
'x,y,z'
'-x,-y,-z'
'-x,y,-z'
'x,-y,z'
'x+1/2,y+1/2,z'
'-x+1/2,-y+1/2,-z'
'-x+1/2,y+1/2,-z'
'x+1/2,-y+1/2,z'
loop_
_atom_site_label
_atom_site_fract_x
_atom_site_fract_y
_atom_site_fract_z
Ba1 0.247 0.166 0.244
Ba2 0.250 0.000 0.755
Bi1 0.000 0.000 0.000
Te1 0.000 0.334 0.000
Br1 0.000 0.166 0.500
Br2 0.000 0.500 0.500
# density	5.05	g/cm³
# Fermi-level density of states	4.152	states/eV/f.u.
# energy relative to the elements, uncorrected	-19.4	eV per formula unit

---

20.
# Ba4BiTeBr2, optimized geometry, DFT PBE
data_Ba4BiTeBr2
_space_group_name_H-M_alt 'P 1 2/m 1'
_space_group_IT_number 10
_cell_length_a 8.355
_cell_length_b 5.010
_cell_length_c 8.651
_cell_angle_alpha 90.00
_cell_angle_beta 110.25
_cell_angle_gamma 90.00
loop_
_space_group_symop_operation_xyz
'x,y,z'
'-x,-y,-z'
'-x,y,-z'
'x,-y,z'
loop_
_atom_site_label
_atom_site_fract_x
_atom_site_fract_y
_atom_site_fract_z
Ba1 0.242 0.000 0.245
Ba2 0.243 0.500 0.750
Bi1 0.000 0.500 0.000
Te1 0.000 0.000 0.500
Br1 0.500 0.000 0.000
Br2 0.500 0.500 0.500
# density	5.11	g/cm³
# Fermi-level density of states	3.167	states/eV/f.u.
# energy relative to the elements, uncorrected	-12.5	eV per formula unit